[1]
# Na2InCoAs | Alexandria | PBE-GGA | optimized geometry
# Raw total energy: -16.5 eV per formula unit
# DOS at the Fermi energy: 0.651 states/eV per atom
# DFT formation energy: 0.13 eV per atom
# Crystal system: tetragonal
data_Na2InCoAs
_cell_length_a 5.4077
_cell_length_b 5.4077
_cell_length_c 4.3414
_cell_angle_alpha 90.00
_cell_angle_beta 90.00
_cell_angle_gamma 90.00
_symmetry_space_group_name_H-M 'P 1'
_symmetry_Int_Tables_number 1
loop_
_symmetry_equiv_pos_as_xyz
'x,y,z'
loop_
_atom_site_label
_atom_site_fract_x
_atom_site_fract_y
_atom_site_fract_z
Na1 0.0000 0.5000 0.0000
Na2 0.5000 0.0000 0.0000
In1 0.0000 0.0000 0.5000
Co1 0.5000 0.5000 0.0000
As1 0.5000 0.5000 0.5000



[2]
# KNa2InCu | Alexandria | PBE-GGA | optimized geometry
# Raw total energy: -10.2 eV per formula unit
# DOS at the Fermi energy: 0.669 states/eV per atom
# DFT formation energy: 0.07 eV per atom
# Crystal system: tetragonal
data_KNa2InCu
_cell_length_a 5.6938
_cell_length_b 5.6938
_cell_length_c 5.0485
_cell_angle_alpha 90.00
_cell_angle_beta 90.00
_cell_angle_gamma 90.00
_symmetry_space_group_name_H-M 'P 1'
_symmetry_Int_Tables_number 1
loop_
_symmetry_equiv_pos_as_xyz
'x,y,z'
loop_
_atom_site_label
_atom_site_fract_x
_atom_site_fract_y
_atom_site_fract_z
K1 0.0000 0.0000 0.0000
Na1 0.0000 0.5000 0.5000
Na2 0.5000 0.0000 0.5000
In1 0.5000 0.5000 0.0000
Cu1 0.5000 0.5000 0.5000



[3]
# ZnSb4Rh | Alexandria | PBE-GGA | optimized geometry
# Raw total energy: -20.8 eV per formula unit
# DOS at the Fermi energy: 1.140 states/eV per atom
# Uncorrected formation energy: 721.7 meV/atom
# Crystal system: cubic
data_ZnSb4Rh
_cell_length_a 6.0768
_cell_length_b 6.0768
_cell_length_c 6.0768
_cell_angle_alpha 60.00
_cell_angle_beta 60.00
_cell_angle_gamma 60.00
_symmetry_space_group_name_H-M 'P 1'
_symmetry_Int_Tables_number 1
loop_
_symmetry_equiv_pos_as_xyz
'x,y,z'
loop_
_atom_site_label
_atom_site_fract_x
_atom_site_fract_y
_atom_site_fract_z
Zn1 0.0000 0.0000 0.0000
Sb1 0.3740 0.3740 0.3740
Sb2 0.3740 0.3740 0.8780
Sb3 0.3740 0.8780 0.3740
Sb4 0.8780 0.3740 0.3740
Rh1 0.7500 0.7500 0.7500



[4]
# KInOF2 | Alexandria | PBE-GGA | optimized geometry
# Distance to the lowest polymorph of the same formula: 1341.3 meV per atom
# Raw total energy: -16.9 eV per formula unit
# DOS at the Fermi energy: 0.406 states/eV per atom
# Uncorrected formation energy: -876.7 meV/atom
# Crystal system: tetragonal
data_KInOF2
_cell_length_a 4.7651
_cell_length_b 4.7651
_cell_length_c 4.8656
_cell_angle_alpha 90.00
_cell_angle_beta 90.00
_cell_angle_gamma 90.00
_symmetry_space_group_name_H-M 'P 1'
_symmetry_Int_Tables_number 1
loop_
_symmetry_equiv_pos_as_xyz
'x,y,z'
loop_
_atom_site_label
_atom_site_fract_x
_atom_site_fract_y
_atom_site_fract_z
K1 0.0000 0.0000 0.0000
In1 0.5000 0.5000 0.5000
O1 0.0000 0.0000 0.5000
F1 0.0000 0.5000 0.0000
F2 0.5000 0.0000 0.0000



[5]
# NaGaAs2I | Alexandria | PBE-GGA | optimized geometry
# Raw total energy: -11.8 eV per formula unit
# DOS at the Fermi energy: 0.746 states/eV per atom
# Uncorrected formation energy: 685.5 meV/atom
# Crystal system: tetragonal
data_NaGaAs2I
_cell_length_a 5.2174
_cell_length_b 5.2174
_cell_length_c 6.1769
_cell_angle_alpha 90.00
_cell_angle_beta 90.00
_cell_angle_gamma 90.00
_symmetry_space_group_name_H-M 'P 1'
_symmetry_Int_Tables_number 1
loop_
_symmetry_equiv_pos_as_xyz
'x,y,z'
loop_
_atom_site_label
_atom_site_fract_x
_atom_site_fract_y
_atom_site_fract_z
Na1 0.0000 0.0000 0.0000
Ga1 0.5000 0.5000 0.5000
As1 0.0000 0.5000 0.0000
As2 0.5000 0.0000 0.0000
I1 0.0000 0.0000 0.5000



[6]
# Pr2Cd3Pd | Alexandria | PBE-GGA | optimized geometry
# Raw total energy: -20.2 eV per formula unit
# DOS at the Fermi energy: 0.673 states/eV per atom
# DFT formation energy: -0.45 eV per atom
# Crystal system: orthorhombic
data_Pr2Cd3Pd
_cell_length_a 3.5984
_cell_length_b 4.9111
_cell_length_c 8.6078
_cell_angle_alpha 90.00
_cell_angle_beta 90.00
_cell_angle_gamma 90.00
_symmetry_space_group_name_H-M 'P 1'
_symmetry_Int_Tables_number 1
loop_
_symmetry_equiv_pos_as_xyz
'x,y,z'
loop_
_atom_site_label
_atom_site_fract_x
_atom_site_fract_y
_atom_site_fract_z
Pr1 0.0000 0.0000 0.0000
Pr2 0.0000 0.5000 0.4489
Cd1 0.5000 0.0000 0.6326
Cd2 0.5000 0.5000 0.1368
Cd3 0.5000 0.5000 0.8010
Pd1 0.5000 0.0000 0.3040



[7]
# KLiPb2 | Alexandria | PBE-GGA | optimized geometry
# Distance to the lowest polymorph of the same formula: 261.1 meV per atom
# Raw total energy: -10.3 eV per formula unit
# DOS at the Fermi energy: 0.609 states/eV per atom
# DFT formation energy: 0.04 eV per atom
# Crystal system: tetragonal
data_KLiPb2
_cell_length_a 5.7909
_cell_length_b 5.7909
_cell_length_c 19.9614
_cell_angle_alpha 90.00
_cell_angle_beta 90.00
_cell_angle_gamma 90.00
_symmetry_space_group_name_H-M 'P 1'
_symmetry_Int_Tables_number 1
loop_
_symmetry_equiv_pos_as_xyz
'x,y,z'
loop_
_atom_site_label
_atom_site_fract_x
_atom_site_fract_y
_atom_site_fract_z
K1 0.0000 0.0000 0.0000
K2 0.0000 0.5000 0.2500
K3 0.5000 0.0000 0.7500
K4 0.5000 0.5000 0.5000
Li1 0.0000 0.0000 0.5000
Li2 0.0000 0.5000 0.7500
Li3 0.5000 0.0000 0.2500
Li4 0.5000 0.5000 0.0000
Pb1 0.0517 0.2500 0.6250
Pb2 0.2500 0.5517 0.8750
Pb3 0.2500 0.9483 0.3750
Pb4 0.4483 0.2500 0.1250
Pb5 0.5517 0.7500 0.1250
Pb6 0.7500 0.0517 0.3750
Pb7 0.7500 0.4483 0.8750
Pb8 0.9483 0.7500 0.6250



[8]
# RbBaSr2Se | Alexandria | PBE-GGA | optimized geometry
# Raw total energy: -12.8 eV per formula unit
# DOS at the Fermi energy: 1.093 states/eV per atom
# Uncorrected formation energy: -608.1 meV/atom
# Crystal system: tetragonal
data_RbBaSr2Se
_cell_length_a 6.3012
_cell_length_b 6.3012
_cell_length_c 6.7063
_cell_angle_alpha 90.00
_cell_angle_beta 90.00
_cell_angle_gamma 90.00
_symmetry_space_group_name_H-M 'P 1'
_symmetry_Int_Tables_number 1
loop_
_symmetry_equiv_pos_as_xyz
'x,y,z'
loop_
_atom_site_label
_atom_site_fract_x
_atom_site_fract_y
_atom_site_fract_z
Rb1 0.0000 0.0000 0.0000
Ba1 0.5000 0.5000 0.0000
Sr1 0.0000 0.5000 0.5000
Sr2 0.5000 0.0000 0.5000
Se1 0.5000 0.5000 0.5000



[9]
# Th2MnCo3Ge4 | Alexandria | PBE-GGA | optimized geometry
# Raw total energy: -69.5 eV per formula unit
# DOS at the Fermi energy: 0.742 states/eV per atom
# DFT formation energy: -0.57 eV per atom
# Crystal system: tetragonal
data_Th2MnCo3Ge4
_cell_length_a 4.1088
_cell_length_b 4.1088
_cell_length_c 10.0213
_cell_angle_alpha 90.00
_cell_angle_beta 90.00
_cell_angle_gamma 90.00
_symmetry_space_group_name_H-M 'P 1'
_symmetry_Int_Tables_number 1
loop_
_symmetry_equiv_pos_as_xyz
'x,y,z'
loop_
_atom_site_label
_atom_site_fract_x
_atom_site_fract_y
_atom_site_fract_z
Th1 0.0000 0.5000 0.2423
Th2 0.5000 0.0000 0.7577
Mn1 0.0000 0.0000 0.5000
Co1 0.0000 0.5000 0.8755
Co2 0.5000 0.0000 0.1245
Co3 0.5000 0.5000 0.5000
Ge1 0.0000 0.0000 0.0000
Ge2 0.0000 0.5000 0.6368
Ge3 0.5000 0.0000 0.3632
Ge4 0.5000 0.5000 0.0000



[10]
# GdLuCo4 | Alexandria | PBE-GGA | optimized geometry
# Raw total energy: -48.4 eV per formula unit
# DOS at the Fermi energy: 1.146 states/eV per atom
# DFT formation energy: -0.23 eV per atom
# Crystal system: cubic
data_GdLuCo4
_cell_length_a 5.0487
_cell_length_b 5.0487
_cell_length_c 5.0487
_cell_angle_alpha 60.00
_cell_angle_beta 60.00
_cell_angle_gamma 60.00
_symmetry_space_group_name_H-M 'P 1'
_symmetry_Int_Tables_number 1
loop_
_symmetry_equiv_pos_as_xyz
'x,y,z'
loop_
_atom_site_label
_atom_site_fract_x
_atom_site_fract_y
_atom_site_fract_z
Gd1 0.0000 0.0000 0.0000
Lu1 0.7500 0.7500 0.7500
Co1 0.3755 0.3755 0.3755
Co2 0.3755 0.3755 0.8736
Co3 0.3755 0.8736 0.3755
Co4 0.8736 0.3755 0.3755



Q: Which value of DOS at the Fermi energy does entry 6 give?
A: 0.673 states/eV per atom